[1]
Density functional theory data (PBE-GGA) for Ba2SiRh after structural relaxation.

The calculation puts the total energy at -4.649 eV/atom. The value obtained for the formation energy from raw total energies is -494 meV/atom. As for the space-group type: R3m, No. 160. Its density of states at the Fermi level is 1.02 states/eV per atom.

Unit cell a=4.289 b=4.289 c=26.932 alpha=90.00 beta=90.00 gamma=120.00
Positions (direct):
Ba 0.000 0.000 0.000
Ba 0.000 0.000 0.166
Ba 0.333 0.667 0.667
Ba 0.333 0.667 0.833
Ba 0.667 0.333 0.333
Ba 0.667 0.333 0.500
Si 0.000 0.000 0.750
Si 0.333 0.667 0.416
Si 0.667 0.333 0.083
Rh 0.000 0.000 0.416
Rh 0.333 0.667 0.083
Rh 0.667 0.333 0.750

***

[2]
Density functional theory data (PBE-GGA) for BaSiRh3 after structural relaxation.

The calculation puts the total energy at -6.170 eV/atom. The value obtained for the formation energy from raw total energies is -290 meV/atom. As for the space-group type: Pm-3m, No. 221. Its density of states at the Fermi level is 1.41 states/eV per atom.

Unit cell a=4.626 b=4.626 c=4.626 alpha=90.00 beta=90.00 gamma=90.00
Positions (direct):
Ba 0.000 0.000 0.000
Si 0.500 0.500 0.500
Rh 0.000 0.500 0.500
Rh 0.500 0.000 0.500
Rh 0.500 0.500 0.000

***

[3]
Density functional theory data (PBE-GGA) for Ba2SiRh after structural relaxation.

The calculation puts the total energy at -3.920 eV/atom. The value obtained for the formation energy from raw total energies is 235 meV/atom. As for the space-group type: R-3m, No. 166. Its density of states at the Fermi level is 0.98 states/eV per atom.

Unit cell a=4.160 b=4.160 c=26.290 alpha=90.00 beta=90.00 gamma=120.00
Positions (direct):
Ba 0.000 0.000 0.242
Ba 0.000 0.000 0.758
Ba 0.333 0.667 0.424
Ba 0.333 0.667 0.909
Ba 0.667 0.333 0.091
Ba 0.667 0.333 0.576
Si 0.000 0.000 0.000
Si 0.333 0.667 0.667
Si 0.667 0.333 0.333
Rh 0.000 0.000 0.500
Rh 0.333 0.667 0.167
Rh 0.667 0.333 0.833